(1)
## Hg2PtAu (PBE-GGA)

Data for Hg2PtAu after structural relaxation.

## Properties
E_tot in eV/atom: -2.36
Calculated formation energy in eV per atom: 0.12
Symmetry: No. 225
ΔE to the lowest computed polymorph in eV/atom: 0.0832
Magnetic moment in μB per atom: 0.0000
Crystal system: cubic

The structure in POSCAR format:
```
Hg2PtAu
1.0
0.000 3.368 3.368
3.368 0.000 3.368
3.368 3.368 0.000
Hg Pt Au
2 1 1
Cartesian
1.684 1.684 1.684
5.051 5.051 5.051
0.000 0.000 0.000
3.368 3.368 3.368
```


(2)
## Y6Bi5Pb (PBE-GGA)

Data for Y6Bi5Pb after structural relaxation.

## Properties
E_tot in eV/atom: -5.97
Calculated formation energy in eV per atom: -0.81
Symmetry: No. 12
Magnetic moment in μB per atom: 0.0000
Crystal system: monoclinic

The structure in POSCAR format:
```
Y6Bi5Pb
1.0
3.876 -6.721 0.000
3.876 6.721 0.000
-2.587 0.000 7.316
Y Bi Pb
6 5 1
Cartesian
-0.011 2.227 5.473
1.274 0.000 1.834
-0.011 -2.227 5.473
5.176 2.227 1.844
3.891 0.000 5.483
5.176 -2.227 1.844
3.876 4.461 0.000
2.582 2.236 3.658
3.876 0.000 0.000
2.582 -2.236 3.658
3.876 -4.461 0.000
-1.294 0.000 3.658
```


(3)
## PmInAs (PBE-GGA)

Data for PmInAs after structural relaxation.

## Properties
E_tot in eV/atom: -4.57
Calculated formation energy in eV per atom: -0.52
Symmetry: No. 107
ΔE to the lowest computed polymorph in eV/atom: 0.2058
Magnetic moment in μB per atom: 0.0718
Crystal system: tetragonal

The structure in POSCAR format:
```
PmInAs
1.0
-1.856 1.856 5.471
1.856 -1.856 5.471
1.856 1.856 -5.471
Pm In As
1 1 1
Cartesian
0.000 0.000 0.000
0.000 0.000 7.730
0.000 0.000 3.800
```


(4)
## TlWSe2 (PBE-GGA)

Data for TlWSe2 after structural relaxation.

## Properties
E_tot in eV/atom: -5.29
Symmetry: No. 65
ΔE to the lowest computed polymorph in eV/atom: 0.4829
Magnetic moment in μB per atom: 0.0000
Crystal system: orthorhombic

The structure in POSCAR format:
```
TlWSe2
1.0
1.639 -2.840 0.000
1.639 2.840 0.000
0.000 0.000 10.014
Tl W Se
1 1 2
Cartesian
0.000 0.000 0.000
0.000 0.000 5.007
1.639 0.000 3.078
1.639 0.000 6.936
```